a.
This record from Alexandria via LeMat-Bulk describes ZrPtS2Cl at its PBEsol-relaxed geometry. The functional is SCAN.

a b c (Å): 4.566 4.669 4.669
angles (deg): 90.00 90.00 90.00
Fractional positions:
1 S 0.000 0.000 0.500
2 S 0.000 0.500 0.000
3 Zr 0.500 0.500 0.500
4 Pt 0.000 0.000 0.000
5 Cl 0.500 0.000 0.000

Results
Total magnetic moment ... 1.19 μB per cell
Crystal system ... tetragonal
Space-group type ... No. 123

b.
This record from Alexandria via LeMat-Bulk describes ZrPtS2Cl at its PBEsol-relaxed geometry. The functional is SCAN.

a b c (Å): 4.759 4.910 4.910
angles (deg): 90.00 90.00 90.00
Fractional positions:
1 S 0.000 0.000 0.500
2 S 0.000 0.500 0.000
3 Zr 0.000 0.000 0.000
4 Pt 0.500 0.500 0.500
5 Cl 0.500 0.000 0.000

Results
Total magnetic moment ... 1.14 μB per cell
Crystal system ... tetragonal
Space-group type ... No. 123

Each structure's energy above the most stable one, in meV/atom: a 104; b 0.

a.
This record from Alexandria via LeMat-Bulk describes SbPtCl2 at its PBEsol-relaxed geometry. The functional is SCAN.

a b c (Å): 3.770 3.770 7.942
angles (deg): 76.27 76.27 60.00
Fractional positions:
1 Sb 0.233 0.233 0.300
2 Pt 0.506 0.506 0.483
3 Cl 0.983 0.983 0.051
4 Cl 0.778 0.778 0.667

Results
Total magnetic moment ... 0.00 μB per cell
Crystal system ... trigonal
Space-group type ... No. 160

b.
This record from Alexandria via LeMat-Bulk describes SbPtCl2 at its PBEsol-relaxed geometry. The functional is SCAN.

a b c (Å): 3.628 5.162 5.149
angles (deg): 105.81 90.00 90.00
Fractional positions:
1 Sb 0.500 0.314 0.652
2 Pt 0.000 0.526 0.993
3 Cl 0.000 0.003 0.984
4 Cl 0.500 0.657 0.371

Results
Total magnetic moment ... 0.00 μB per cell
Crystal system ... monoclinic
Space-group type ... No. 6

Each structure's energy above the most stable one, in meV/atom: a 0; b 83.

a.
This record from Alexandria via LeMat-Bulk describes Sc2PtCl at its PBEsol-relaxed geometry. The functional is SCAN.

a b c (Å): 3.724 3.724 5.448
angles (deg): 90.00 90.00 90.00
Fractional positions:
1 Sc 0.000 0.000 0.500
2 Sc 0.500 0.500 0.000
3 Pt 0.500 0.500 0.500
4 Cl 0.000 0.000 0.000

Results
Total magnetic moment ... 0.00 μB per cell
Crystal system ... tetragonal
Space-group type ... No. 123

b.
This record from Alexandria via LeMat-Bulk describes Sc2PtCl at its PBEsol-relaxed geometry. The functional is SCAN.

a b c (Å): 3.340 3.340 9.175
angles (deg): 79.51 79.51 60.00
Fractional positions:
1 Sc 0.990 0.990 0.031
2 Sc 0.760 0.760 0.720
3 Pt 0.262 0.262 0.214
4 Cl 0.488 0.488 0.535

Results
Total magnetic moment ... 0.98 μB per cell
Crystal system ... trigonal
Space-group type ... No. 160

Each structure's energy above the most stable one, in meV/atom: a 0; b 396.

a.
This record from Alexandria via LeMat-Bulk describes ScPtCl2 at its PBEsol-relaxed geometry. The functional is SCAN.

a b c (Å): 4.221 4.229 4.299
angles (deg): 90.61 90.00 90.00
Fractional positions:
1 Sc 0.500 0.500 0.000
2 Pt 0.500 0.000 0.500
3 Cl 0.000 0.260 0.241
4 Cl 0.000 0.740 0.759

Results
Total magnetic moment ... 0.00 μB per cell
Crystal system ... monoclinic
Space-group type ... No. 10

b.
This record from Alexandria via LeMat-Bulk describes ScPtCl2 at its PBEsol-relaxed geometry. The functional is SCAN.

a b c (Å): 3.136 3.136 7.773
angles (deg): 90.00 90.00 89.98
Fractional positions:
1 Sc 0.500 0.500 0.266
2 Pt 0.000 0.000 0.476
3 Cl 0.000 0.000 0.063
4 Cl 0.500 0.500 0.695

Results
Total magnetic moment ... 0.00 μB per cell
Crystal system ... tetragonal
Space-group type ... No. 99

Each structure's energy above the most stable one, in meV/atom: a 400; b 0.

a.
This record from Alexandria via LeMat-Bulk describes PtSeCl2 at its PBEsol-relaxed geometry. The functional is SCAN.

a b c (Å): 3.600 3.600 7.731
angles (deg): 76.54 76.54 60.00
Fractional positions:
1 Pt 0.507 0.507 0.479
2 Se 0.234 0.234 0.297
3 Cl 0.982 0.982 0.055
4 Cl 0.777 0.777 0.669

Results
Total magnetic moment ... 0.00 μB per cell
Crystal system ... trigonal
Space-group type ... No. 160

b.
This record from Alexandria via LeMat-Bulk describes PtSeCl2 at its PBEsol-relaxed geometry. The functional is SCAN.

a b c (Å): 3.487 4.832 7.647
angles (deg): 108.42 103.18 90.00
Fractional positions:
1 Pt 0.461 0.461 0.922
2 Se 0.072 0.572 0.145
3 Cl 0.119 0.119 0.237
4 Cl 0.848 0.348 0.696

Results
Total magnetic moment ... 0.00 μB per cell
Crystal system ... orthorhombic
Space-group type ... No. 44

Each structure's energy above the most stable one, in meV/atom: a 0; b 27.

a.
This record from Alexandria via LeMat-Bulk describes Si2PtCl at its PBEsol-relaxed geometry. The functional is SCAN.

a b c (Å): 3.513 3.513 6.957
angles (deg): 75.37 75.37 60.00
Fractional positions:
1 Cl 0.500 0.500 0.500
2 Pt 0.000 0.000 0.000
3 Si 0.265 0.265 0.204
4 Si 0.735 0.735 0.796

Results
Total magnetic moment ... 0.00 μB per cell
Crystal system ... trigonal
Space-group type ... No. 166

b.
This record from Alexandria via LeMat-Bulk describes Si2PtCl at its PBEsol-relaxed geometry. The functional is SCAN.

a b c (Å): 3.269 4.966 4.966
angles (deg): 70.97 70.79 70.79
Fractional positions:
1 Cl 0.500 0.000 0.000
2 Pt 0.000 0.500 0.500
3 Si 0.263 0.737 0.737
4 Si 0.737 0.263 0.263

Results
Total magnetic moment ... 0.00 μB per cell
Crystal system ... orthorhombic
Space-group type ... No. 71

Each structure's energy above the most stable one, in meV/atom: a 0; b 534.

a.
This record from Alexandria via LeMat-Bulk describes Sr2PtCl at its PBEsol-relaxed geometry. The functional is SCAN.

a b c (Å): 4.208 4.208 7.912
angles (deg): 74.58 74.58 60.00
Fractional positions:
1 Sr 0.759 0.759 0.724
2 Sr 0.241 0.241 0.276
3 Pt 0.500 0.500 0.500
4 Cl 0.000 0.000 0.000

Results
Total magnetic moment ... 0.00 μB per cell
Crystal system ... trigonal
Space-group type ... No. 166

b.
This record from Alexandria via LeMat-Bulk describes Sr2PtCl at its PBEsol-relaxed geometry. The functional is SCAN.

a b c (Å): 5.229 5.229 5.229
angles (deg): 60.00 60.00 60.00
Fractional positions:
1 Sr 0.250 0.250 0.250
2 Sr 0.750 0.750 0.750
3 Pt 0.000 0.000 0.000
4 Cl 0.500 0.500 0.500

Results
Total magnetic moment ... 0.00 μB per cell
Crystal system ... cubic
Space-group type ... No. 225

Each structure's energy above the most stable one, in meV/atom: a 0; b 229.

a.
This record from Alexandria via LeMat-Bulk describes TaPt2Cl at its PBEsol-relaxed geometry. The functional is SCAN.

a b c (Å): 3.977 3.977 4.915
angles (deg): 113.87 113.87 90.00
Fractional positions:
1 Cl 0.000 0.000 0.000
2 Pt 0.750 0.250 0.500
3 Pt 0.250 0.750 0.500
4 Ta 0.500 0.500 0.000

Results
Total magnetic moment ... 0.00 μB per cell
Crystal system ... tetragonal
Space-group type ... No. 139

b.
This record from Alexandria via LeMat-Bulk describes TaPt2Cl at its PBEsol-relaxed geometry. The functional is SCAN.

a b c (Å): 2.809 4.313 6.999
angles (deg): 107.95 101.58 90.00
Fractional positions:
1 Cl 0.177 0.677 0.355
2 Pt 0.958 0.958 0.916
3 Pt 0.841 0.341 0.682
4 Ta 0.523 0.523 0.047

Results
Total magnetic moment ... 0.00 μB per cell
Crystal system ... orthorhombic
Space-group type ... No. 44

Each structure's energy above the most stable one, in meV/atom: a 564; b 0.

a.
This record from Alexandria via LeMat-Bulk describes TcPtCl2 at its PBEsol-relaxed geometry. The functional is SCAN.

a b c (Å): 2.866 4.175 5.155
angles (deg): 90.00 94.36 90.00
Fractional positions:
1 Tc 0.000 0.500 0.000
2 Pt 0.500 0.500 0.500
3 Cl 0.806 0.000 0.758
4 Cl 0.194 0.000 0.242

Results
Total magnetic moment ... 0.00 μB per cell
Crystal system ... monoclinic
Space-group type ... No. 10

b.
This record from Alexandria via LeMat-Bulk describes TcPtCl2 at its PBEsol-relaxed geometry. The functional is SCAN.

a b c (Å): 2.942 2.942 7.974
angles (deg): 90.00 90.00 90.00
Fractional positions:
1 Tc 0.500 0.500 0.732
2 Pt 0.000 0.000 0.530
3 Cl 0.000 0.000 0.928
4 Cl 0.500 0.500 0.311

Results
Total magnetic moment ... 0.00 μB per cell
Crystal system ... tetragonal
Space-group type ... No. 99

c.
This record from Alexandria via LeMat-Bulk describes TcPtCl2 at its PBEsol-relaxed geometry. The functional is SCAN.

a b c (Å): 2.898 5.722 5.722
angles (deg): 66.86 75.33 75.33
Fractional positions:
1 Tc 0.755 0.745 0.745
2 Pt 0.485 0.515 0.515
3 Cl 0.051 0.949 0.949
4 Cl 0.209 0.291 0.291

Results
Total magnetic moment ... 3.46 μB per cell
Crystal system ... orthorhombic
Space-group type ... No. 44

Each structure's energy above the most stable one, in meV/atom: a 610; b 0; c 298.

a.
This record from Alexandria via LeMat-Bulk describes TlPt2Cl at its PBEsol-relaxed geometry. The functional is SCAN.

a b c (Å): 2.979 5.173 5.457
angles (deg): 118.29 105.84 90.00
Fractional positions:
1 Tl 0.500 0.000 0.000
2 Pt 0.749 0.749 0.498
3 Pt 0.251 0.251 0.502
4 Cl 0.000 0.500 0.000

Results
Total magnetic moment ... 0.00 μB per cell
Crystal system ... orthorhombic
Space-group type ... No. 71

b.
This record from Alexandria via LeMat-Bulk describes TlPt2Cl at its PBEsol-relaxed geometry. The functional is SCAN.

a b c (Å): 3.392 3.392 6.209
angles (deg): 90.00 90.00 90.00
Fractional positions:
1 Tl 0.500 0.500 0.000
2 Pt 0.000 0.000 0.769
3 Pt 0.000 0.000 0.231
4 Cl 0.500 0.500 0.500

Results
Total magnetic moment ... 0.00 μB per cell
Crystal system ... tetragonal
Space-group type ... No. 123

Each structure's energy above the most stable one, in meV/atom: a 0; b 181.

a.
This record from Alexandria via LeMat-Bulk describes YPtCl2 at its PBEsol-relaxed geometry. The functional is SCAN.

a b c (Å): 3.953 3.953 7.737
angles (deg): 75.20 75.20 60.00
Fractional positions:
1 Y 0.000 0.000 0.000
2 Pt 0.500 0.500 0.500
3 Cl 0.885 0.885 0.345
4 Cl 0.115 0.115 0.655

Results
Total magnetic moment ... 0.78 μB per cell
Crystal system ... trigonal
Space-group type ... No. 166

b.
This record from Alexandria via LeMat-Bulk describes YPtCl2 at its PBEsol-relaxed geometry. The functional is SCAN.

a b c (Å): 3.512 4.557 7.028
angles (deg): 108.92 104.47 90.00
Fractional positions:
1 Y 0.000 0.500 0.000
2 Pt 0.500 0.000 0.000
3 Cl 0.655 0.655 0.310
4 Cl 0.345 0.345 0.690

Results
Total magnetic moment ... 0.00 μB per cell
Crystal system ... orthorhombic
Space-group type ... No. 71

Each structure's energy above the most stable one, in meV/atom: a 1022; b 0.

a.
This record from Alexandria via LeMat-Bulk describes YPt2Cl at its PBEsol-relaxed geometry. The functional is SCAN.

a b c (Å): 4.727 4.727 4.727
angles (deg): 60.00 60.00 60.00
Fractional positions:
1 Y 0.500 0.500 0.500
2 Pt 0.250 0.250 0.250
3 Pt 0.750 0.750 0.750
4 Cl 0.000 0.000 0.000

Results
Total magnetic moment ... 0.00 μB per cell
Crystal system ... cubic
Space-group type ... No. 225

b.
This record from Alexandria via LeMat-Bulk describes YPt2Cl at its PBEsol-relaxed geometry. The functional is SCAN.

a b c (Å): 4.237 4.237 6.690
angles (deg): 71.54 71.54 60.00
Fractional positions:
1 Y 0.484 0.484 0.549
2 Pt 0.056 0.056 0.831
3 Pt 0.728 0.728 0.817
4 Cl 0.232 0.232 0.303

Results
Total magnetic moment ... 0.00 μB per cell
Crystal system ... trigonal
Space-group type ... No. 160

c.
This record from Alexandria via LeMat-Bulk describes YPt2Cl at its PBEsol-relaxed geometry. The functional is SCAN.

a b c (Å): 3.012 4.435 6.084
angles (deg): 111.23 104.12 90.56
Fractional positions:
1 Y 0.500 0.000 0.000
2 Pt 0.000 0.000 0.500
3 Pt 0.500 0.500 0.500
4 Cl 0.000 0.500 0.000

Results
Total magnetic moment ... 0.00 μB per cell
Crystal system ... monoclinic
Space-group type ... No. 12

Each structure's energy above the most stable one, in meV/atom: a 855; b 0; c 422.